1.
Compound: CsRb5Na4
Source: the Alexandria database
Functional: PBE-GGA
Structure: relaxed Values from VASP.

The structure in Quantum ESPRESSO input format:
```
&SYSTEM
  ibrav = 0, nat = 10, ntyp = 3
/
ATOMIC_SPECIES
Cs 132.91 Cs.upf
Rb 85.47 Rb.upf
Na 22.99 Na.upf
CELL_PARAMETERS angstrom
4.981 0.000 0.000
0.000 4.981 0.000
0.000 0.000 28.135
ATOMIC_POSITIONS crystal
Cs 0.000 0.000 0.000
Rb 0.500 0.500 0.144
Rb 0.500 0.500 0.322
Rb 0.500 0.500 0.500
Rb 0.500 0.500 0.678
Rb 0.500 0.500 0.856
Na 0.000 0.000 0.234
Na 0.000 0.000 0.412
Na 0.000 0.000 0.588
Na 0.000 0.000 0.766
```

Output
Space group: P4/mmm (123)
DOS(E_F) in states/eV/cell: 7.18
Raw total energy in eV/atom: -1.0612



2.
Compound: Cs4Rb3Na2
Source: the Alexandria database
Functional: PBE-GGA
Structure: relaxed Values from VASP.

The structure in Quantum ESPRESSO input format:
```
&SYSTEM
  ibrav = 0, nat = 9, ntyp = 3
/
ATOMIC_SPECIES
Cs 132.91 Cs.upf
Rb 85.47 Rb.upf
Na 22.99 Na.upf
CELL_PARAMETERS angstrom
11.808 -3.475 0.000
11.808 3.475 0.000
-2.958 0.000 9.768
ATOMIC_POSITIONS crystal
Cs 0.070 0.070 0.342
Cs 0.278 0.278 0.782
Cs 0.722 0.722 0.218
Cs 0.930 0.930 0.658
Rb 0.385 0.385 0.310
Rb 0.500 0.500 0.000
Rb 0.615 0.615 0.690
Na 0.116 0.116 0.945
Na 0.884 0.884 0.055
```

Output
Space group: C2/m (12)
DOS(E_F) in states/eV/cell: 7.01
Raw total energy in eV/atom: -0.9737



3.
Compound: Cs2Rb4Na
Source: the Alexandria database
Functional: PBE-GGA
Structure: relaxed Values from VASP.

The structure in Quantum ESPRESSO input format:
```
&SYSTEM
  ibrav = 0, nat = 7, ntyp = 3
/
ATOMIC_SPECIES
Cs 132.91 Cs.upf
Rb 85.47 Rb.upf
Na 22.99 Na.upf
CELL_PARAMETERS angstrom
-3.776 3.776 12.325
3.776 -3.776 12.325
3.776 3.776 -12.325
ATOMIC_POSITIONS crystal
Cs 0.138 0.138 0.000
Cs 0.862 0.862 0.000
Rb 0.000 0.500 0.500
Rb 0.335 0.335 0.000
Rb 0.500 0.000 0.500
Rb 0.665 0.665 0.000
Na 0.500 0.500 0.000
```

Output
Distance to the lowest polymorph of the same formula in meV/atom: 54
Space group: I4/mmm (139)
DOS(E_F) in states/eV/cell: 5.81



4.
Compound: Cs6RbNa2
Source: the Alexandria database
Functional: PBE-GGA
Structure: relaxed Values from VASP.

The structure in Quantum ESPRESSO input format:
```
&SYSTEM
  ibrav = 0, nat = 9, ntyp = 3
/
ATOMIC_SPECIES
Cs 132.91 Cs.upf
Rb 85.47 Rb.upf
Na 22.99 Na.upf
CELL_PARAMETERS angstrom
9.363 -3.825 0.000
9.363 3.825 0.000
-9.350 0.000 11.519
ATOMIC_POSITIONS crystal
Cs 0.038 0.038 0.355
Cs 0.316 0.316 0.355
Cs 0.343 0.343 0.000
Cs 0.657 0.657 0.000
Cs 0.684 0.684 0.645
Cs 0.962 0.962 0.645
Rb 0.000 0.000 0.000
Na 0.349 0.349 0.699
Na 0.651 0.651 0.301
```

Output
Space group: C2/m (12)
DOS(E_F) in states/eV/cell: 8.14
Raw total energy in eV/atom: -0.9513



5.
Compound: CsRb3Na
Source: the Alexandria database
Functional: PBE-GGA
Structure: relaxed Values from VASP.

The structure in Quantum ESPRESSO input format:
```
&SYSTEM
  ibrav = 0, nat = 5, ntyp = 3
/
ATOMIC_SPECIES
Cs 132.91 Cs.upf
Rb 85.47 Rb.upf
Na 22.99 Na.upf
CELL_PARAMETERS angstrom
7.740 0.000 0.000
0.000 7.740 0.000
0.000 0.000 7.740
ATOMIC_POSITIONS crystal
Cs 0.000 0.000 0.000
Rb 0.000 0.500 0.500
Rb 0.500 0.000 0.500
Rb 0.500 0.500 0.000
Na 0.500 0.500 0.500
```

Output
Distance to the lowest polymorph of the same formula in meV/atom: 44
Space group: Pm-3m (221)
DOS(E_F) in states/eV/cell: 3.21



6.
Compound: Cs2Rb5Na4
Source: the Alexandria database
Functional: PBE-GGA
Structure: relaxed Values from VASP.

The structure in Quantum ESPRESSO input format:
```
&SYSTEM
  ibrav = 0, nat = 11, ntyp = 3
/
ATOMIC_SPECIES
Cs 132.91 Cs.upf
Rb 85.47 Rb.upf
Na 22.99 Na.upf
CELL_PARAMETERS angstrom
9.364 -4.465 0.000
9.364 4.465 0.000
-8.209 0.000 9.804
ATOMIC_POSITIONS crystal
Cs 0.204 0.204 0.216
Cs 0.796 0.796 0.784
Rb 0.246 0.748 0.317
Rb 0.252 0.754 0.683
Rb 0.500 0.500 0.000
Rb 0.748 0.246 0.317
Rb 0.754 0.252 0.683
Na 0.246 0.246 0.613
Na 0.255 0.255 0.923
Na 0.745 0.745 0.077
Na 0.754 0.754 0.387
```

Output
Space group: C2/m (12)
DOS(E_F) in states/eV/cell: 7.99
Raw total energy in eV/atom: -1.0272